Here is crystalline TaOsPb2 at its relaxed geometry from Alexandria. Energies are from GGA-PBEsol.

```
TaOsPb2
1.0
3.2422 0.0000 0.0000
0.0000 4.7286 0.0000
0.0000 0.0000 5.2106
Ta Os Pb
1 1 2
Direct
0.0000 0.0000 0.0000
0.5000 0.0000 0.5000
0.0000 0.5000 0.5000
0.5000 0.5000 0.0000
```

Calculated values
Final energy (eV per cell): -28.9
E above lowest polymorph (eV/f.u.): 0.000
Energy of formation (meV/atom): 955

---

Here is crystalline TaOs2Pb at its relaxed geometry from Alexandria. Energies are from GGA-PBEsol.

```
TaOs2Pb
1.0
2.9443 0.0000 0.0000
0.0000 4.1554 0.0000
0.0000 0.0000 5.5229
Ta Os Pb
1 2 1
Direct
0.0000 0.0000 0.0000
0.0000 0.0000 0.4606
0.5000 0.5000 0.2028
0.5000 0.5000 0.6996
```

Calculated values
Final energy (eV per cell): -38.7
Energy of formation (meV/atom): 579

---

Look up the energy of formation of the first one. 955 meV/atom